Record 1
Mg3SiRh4 after structural relaxation, computed with PBE.

The structure in extended XYZ format:
```
8
Lattice="-2.149 2.149 6.190 2.149 -2.149 6.190 2.149 2.149 -6.190" Properties=species:S:1:pos:R:3 pbc="T T T"
Mg 0.000 0.000 0.000
Mg 0.000 0.000 3.081
Mg 0.000 0.000 9.298
Si 0.000 0.000 6.190
Rh 2.149 0.000 1.447
Rh 2.149 0.000 4.743
Rh 0.000 2.149 1.447
Rh 0.000 2.149 4.743
```

Energy: -5.630 eV per atom



Record 2
Sm2YCu3 after structural relaxation, computed with PBE.

The structure in extended XYZ format:
```
6
Lattice="4.994 0.000 0.000 -2.497 4.325 0.000 0.000 0.000 6.099" Properties=species:S:1:pos:R:3 pbc="T T T"
Sm 0.000 2.883 1.026
Sm 2.497 1.442 5.073
Y 0.000 0.000 3.049
Cu 0.000 0.000 0.000
Cu 0.000 2.883 4.026
Cu 2.497 1.442 2.073
```

Polymorph energy (0 for the lowest one): 3.5 meV per atom
Energy relative to the elements: -19.3 kJ/mol of atoms
Energy: -4.898 eV per atom



Record 3
Tb2ZnSe after structural relaxation, computed with PBE.

The structure in extended XYZ format:
```
4
Lattice="3.599 0.000 0.000 0.000 3.599 0.000 0.000 0.000 7.088" Properties=species:S:1:pos:R:3 pbc="T T T"
Tb 0.000 0.000 1.774
Tb 0.000 0.000 5.314
Zn 1.799 1.799 0.000
Se 1.799 1.799 3.544
```

Polymorph energy (0 for the lowest one): 213.4 meV per atom
Energy: -4.354 eV per atom



Record 4
TbHo2Er5In after structural relaxation, computed with PBE.

The structure in extended XYZ format:
```
18
Lattice="2.652 -10.011 0.000 2.652 10.011 0.000 0.000 0.000 10.391" Properties=species:S:1:pos:R:3 pbc="T T T"
Tb 2.652 5.853 5.195
Tb 2.652 -5.853 0.000
Ho 2.652 7.684 2.188
Ho 2.652 7.686 8.203
Ho 2.652 -7.686 3.007
Ho 2.652 -7.684 7.383
Er 2.652 9.796 5.196
Er 2.652 4.221 2.074
Er 2.652 4.227 8.316
Er 2.652 2.341 5.195
Er 2.652 0.002 2.595
Er 2.652 -0.002 7.791
Er 2.652 -2.341 10.390
Er 2.652 -4.227 3.121
Er 2.652 -4.221 7.270
Er 2.652 -9.796 0.000
In 2.652 1.913 10.385
In 2.652 -1.913 5.190
```

Energy relative to the elements: -0.1 kJ/mol of atoms
Energy: -4.372 eV per atom



Record 5
KZrCu after structural relaxation, computed with PBE.

The structure in extended XYZ format:
```
3
Lattice="0.000 3.341 3.341 3.341 0.000 3.341 3.341 3.341 0.000" Properties=species:S:1:pos:R:3 pbc="T T T"
K 0.000 0.000 0.000
Zr 1.671 1.671 1.671
Cu 5.012 5.012 5.012
```

Polymorph energy (0 for the lowest one): 1333.4 meV per atom
Energy relative to the elements: 171.0 kJ/mol of atoms
Energy: -2.808 eV per atom



Record 6
MoCBr2 after structural relaxation, computed with PBE.

The structure in extended XYZ format:
```
4
Lattice="0.000 3.176 3.176 3.176 0.000 3.176 3.176 3.176 0.000" Properties=species:S:1:pos:R:3 pbc="T T T"
Mo 0.000 0.000 0.000
C 3.176 3.176 3.176
Br 1.588 1.588 1.588
Br 4.764 4.764 4.764
```

Polymorph energy (0 for the lowest one): 0.0 meV per atom
Energy: -4.013 eV per atom



Record 7
HoEr4Cu5 after structural relaxation, computed with PBE.

The structure in extended XYZ format:
```
10
Lattice="3.418 0.000 0.000 0.000 3.418 0.000 0.000 0.000 17.372" Properties=species:S:1:pos:R:3 pbc="T T T"
Ho 0.000 0.000 0.000
Er 0.000 0.000 3.484
Er 0.000 0.000 6.951
Er 0.000 0.000 10.421
Er 0.000 0.000 13.888
Cu 1.709 1.709 1.758
Cu 1.709 1.709 5.217
Cu 1.709 1.709 8.686
Cu 1.709 1.709 12.155
Cu 1.709 1.709 15.614
```

Energy relative to the elements: -27.0 kJ/mol of atoms
Energy: -4.611 eV per atom



Record 8
KRe3Ni after structural relaxation, computed with PBE.

The structure in extended XYZ format:
```
5
Lattice="4.606 0.000 0.000 0.000 4.606 0.000 0.000 0.000 4.606" Properties=species:S:1:pos:R:3 pbc="T T T"
K 0.000 0.000 0.000
Re 0.000 2.303 2.303
Re 2.303 0.000 2.303
Re 2.303 2.303 0.000
Ni 2.303 2.303 2.303
```

Polymorph energy (0 for the lowest one): 0.0 meV per atom
Energy relative to the elements: 211.7 kJ/mol of atoms
Energy: -6.651 eV per atom